w | Entry from Alexandria: a relaxed structure of VB3O (GGA+U).

Computed properties:
- symmetry = Pm-3m (221)
- volume (Å³/atom) = 13.86
- DOS at the Fermi energy (states/eV/cell) = 3.013

abc: 4.1071 4.1071 4.1071
angles: 90.00 90.00 90.00
Closest atoms and distances in Å follow each position.
Element x y z (fractional)
V 0.0000 0.0000 0.0000  6 B 2.05
B 0.0000 0.0000 0.5000  2 V 2.05
B 0.0000 0.5000 0.0000  2 V 2.05
B 0.5000 0.0000 0.0000  2 V 2.05
O 0.5000 0.5000 0.5000  12 B 2.90

---

x | Entry from Alexandria: a relaxed structure of VB3O (GGA+U).

Computed properties:
- symmetry = Pm-3m (221)
- volume (Å³/atom) = 8.30
- DOS at the Fermi energy (states/eV/cell) = 2.006

abc: 3.4621 3.4621 3.4621
angles: 90.00 90.00 90.00
Closest atoms and distances in Å follow each position.
Element x y z (fractional)
V 0.0000 0.0000 0.0000  12 B 2.45
B 0.0000 0.5000 0.5000  2 O 1.73
B 0.5000 0.0000 0.5000  2 O 1.73
B 0.5000 0.5000 0.0000  2 O 1.73
O 0.5000 0.5000 0.5000  6 B 1.73

---

Most stable: x (next structure +1007 meV/atom)